1.
DFT (PBE) results for a relaxed HPdPtAu crystal.

Output
Total magnetic moment: 0.0 μB/cell
E: -17.87 eV for the cell shown

```
data_HPdPtAu
_cell_length_a 4.163
_cell_length_b 2.896
_cell_length_c 4.992
_cell_angle_alpha 106.86
_cell_angle_beta 112.84
_cell_angle_gamma 90.00
_symmetry_space_group_name_H-M 'P 1'
_symmetry_Int_Tables_number 1
loop_
_symmetry_equiv_pos_as_xyz
'x,y,z'
loop_
_atom_site_label
_atom_site_type_symbol
_atom_site_fract_x
_atom_site_fract_y
_atom_site_fract_z
_atom_site_occupancy
Pt1 Pt 0.373 0.938 0.875 1
Au1 Au 0.023 0.592 0.184 1
H1 H 0.956 0.794 0.588 1
Pd1 Pd 0.667 0.264 0.527 1
```

---

2.
DFT (PBE) results for a relaxed HPdPtAu2 crystal.

Output
Total magnetic moment: 0.0 μB/cell
E: -20.73 eV for the cell shown

```
data_HPdPtAu2
_cell_length_a 4.437
_cell_length_b 3.596
_cell_length_c 4.437
_cell_angle_alpha 90.00
_cell_angle_beta 90.00
_cell_angle_gamma 90.00
_symmetry_space_group_name_H-M 'P 1'
_symmetry_Int_Tables_number 1
loop_
_symmetry_equiv_pos_as_xyz
'x,y,z'
loop_
_atom_site_label
_atom_site_type_symbol
_atom_site_fract_x
_atom_site_fract_y
_atom_site_fract_z
_atom_site_occupancy
Au1 Au 0.000 0.000 0.500 1
Au2 Au 0.500 0.000 0.000 1
Pt1 Pt 0.000 0.500 0.000 1
Pd1 Pd 0.500 0.500 0.500 1
H1 H 0.000 0.000 0.000 1
```

---

3.
DFT (PBE) results for a relaxed HPdPtAu2 crystal.

Output
Total magnetic moment: 0.0 μB/cell
E: -20.63 eV for the cell shown

```
data_HPdPtAu2
_cell_length_a 4.407
_cell_length_b 4.407
_cell_length_c 3.610
_cell_angle_alpha 90.00
_cell_angle_beta 90.00
_cell_angle_gamma 90.00
_symmetry_space_group_name_H-M 'P 1'
_symmetry_Int_Tables_number 1
loop_
_symmetry_equiv_pos_as_xyz
'x,y,z'
loop_
_atom_site_label
_atom_site_type_symbol
_atom_site_fract_x
_atom_site_fract_y
_atom_site_fract_z
_atom_site_occupancy
H1 H 0.000 0.000 0.000 1
Au1 Au 0.000 0.500 0.000 1
Au2 Au 0.500 0.000 0.000 1
Pd1 Pd 0.000 0.000 0.500 1
Pt1 Pt 0.500 0.500 0.500 1
```